DFT (GGA-PBE) results for Cs3AgPd2Cl6 after structural relaxation.

Summary:
N(E_F): 0.651 states/eV per atom
Total magnetic moment: 2.1 μB/f.u.
Density: 3.29 Mg/m³
Uncorrected formation energy: -11.6 eV/f.u.

a b c (Å): 7.783 7.783 8.961
angles (deg): 90.00 90.00 120.00
Each line ends with the local moment (μB).
Fractional coordinates of all 12 atoms:
Cs 0.333 0.667 0.656  0.00
Cs 0.667 0.333 0.344  0.00
Cs 0.000 0.000 0.000  0.00
Ag 0.000 0.000 0.500  0.07
Pd 0.667 0.333 0.729  0.63
Pd 0.333 0.667 0.271  0.63
Cl 0.686 0.843 0.303  0.08
Cl 0.157 0.314 0.303  0.08
Cl 0.157 0.843 0.303  0.08
Cl 0.843 0.686 0.697  0.08
Cl 0.314 0.157 0.697  0.08
Cl 0.843 0.157 0.697  0.08